Below is an optimized crystal structure of SbAs2Pd2, with properties calculated at the PBE level.

## Properties
* D(E_F): 6.6 states/eV/cell
* ΔE_f (raw): -0.1 eV/f.u.
* total energy: -4.790 eV per atom
* energy above the lowest structure with this stoichiometry: 81.0 meV/atom

```
data_SbAs2Pd2
_chemical_formula_sum 'Sb2 As4 Pd4'
_space_group_name_H-M_alt 'P 4/m b m'
_space_group_IT_number 127
_space_group_name_Hall '-P 4 2ab'
_cell_length_a 7.8770
_cell_length_b 7.8770
_cell_length_c 3.0491
_cell_angle_alpha 90.00
_cell_angle_beta 90.00
_cell_angle_gamma 90.00
loop_
_atom_site_label
_atom_site_type_symbol
_atom_site_fract_x
_atom_site_fract_y
_atom_site_fract_z
Sb1 Sb 0.0000 0.0000 0.0000
As1 As 0.1576 0.3424 0.0000
Pd1 Pd 0.1300 0.6300 0.5000
```

Below is an optimized crystal structure of Ca2CdW, with properties calculated at the PBE level.

## Properties
* D(E_F): 7.7 states/eV/cell
* total energy: -3.756 eV per atom

```
data_Ca2CdW
_chemical_formula_sum 'Ca6 Cd3 W3'
_space_group_name_H-M_alt 'R 3 m'
_space_group_IT_number 160
_space_group_name_Hall 'R 3 -2"'
_cell_length_a 3.2247
_cell_length_b 3.2247
_cell_length_c 32.7599
_cell_angle_alpha 90.00
_cell_angle_beta 90.00
_cell_angle_gamma 120.00
loop_
_atom_site_label
_atom_site_type_symbol
_atom_site_fract_x
_atom_site_fract_y
_atom_site_fract_z
Ca1 Ca 0.0000 0.0000 0.0000
Ca2 Ca 0.0000 0.0000 0.2301
Cd1 Cd 0.0000 0.0000 0.7496
W1 W 0.0000 0.0000 0.4881
```

Below is an optimized crystal structure of BaNa2CeCl8, with properties calculated at the PBE level.

## Properties
* ΔE_f (raw): -24.1 eV/f.u.
* total energy: -4.114 eV per atom

```
data_BaNa2CeCl8
_chemical_formula_sum 'Ba1 Na2 Ce1 Cl8'
_space_group_name_H-M_alt 'P 1 2/m 1'
_space_group_IT_number 10
_space_group_name_Hall '-P 2y'
_cell_length_a 6.6030
_cell_length_b 9.0468
_cell_length_c 6.6109
_cell_angle_alpha 90.00
_cell_angle_beta 90.11
_cell_angle_gamma 90.00
loop_
_atom_site_label
_atom_site_type_symbol
_atom_site_fract_x
_atom_site_fract_y
_atom_site_fract_z
Ba1 Ba 0.0000 0.0000 0.0000
Na1 Na 0.5000 0.2327 0.5000
Ce1 Ce 0.0000 0.5000 0.0000
Cl1 Cl 0.2147 0.2863 0.1743
Cl2 Cl 0.2590 0.5000 0.7000
Cl3 Cl 0.2900 0.0000 0.6588
```